# Rb2Mg2Pt, optimized geometry, DFT PBE
data_Rb2Mg2Pt
_chemical_formula_sum 'Rb4 Mg4 Pt2'
_symmetry_space_group_name_H-M 'I 4/m m m'
_symmetry_Int_Tables_number 139
_symmetry_space_group_name_Hall '-I 4 2'
_cell_length_a 4.114
_cell_length_b 4.114
_cell_length_c 23.010
_cell_angle_alpha 90.00
_cell_angle_beta 90.00
_cell_angle_gamma 90.00
loop_
_atom_site_label
_atom_site_type_symbol
_atom_site_fract_x
_atom_site_fract_y
_atom_site_fract_z
Rb1 Rb 0.000 0.000 0.081
Mg1 Mg 0.000 0.500 0.250
Pt1 Pt 0.000 0.000 0.500
# ΔE to the lowest computed polymorph ... 0.000 eV/atom
# ΔE_f ... 32 kJ per mole of atoms


# CsScRe2Sn, optimized geometry, DFT PBE
data_CsScRe2Sn
_chemical_formula_sum 'Cs1 Sc1 Re2 Sn1'
_symmetry_space_group_name_H-M 'P 4/m m m'
_symmetry_Int_Tables_number 123
_symmetry_space_group_name_Hall '-P 4 2'
_cell_length_a 4.993
_cell_length_b 4.993
_cell_length_c 5.094
_cell_angle_alpha 90.00
_cell_angle_beta 90.00
_cell_angle_gamma 90.00
loop_
_atom_site_label
_atom_site_type_symbol
_atom_site_fract_x
_atom_site_fract_y
_atom_site_fract_z
Cs1 Cs 0.000 0.000 0.000
Sc1 Sc 0.000 0.000 0.500
Re1 Re 0.000 0.500 0.000
Sn1 Sn 0.500 0.500 0.500
# ΔE_f ... 271 kJ per mole of atoms


# Ca2NdAu3, optimized geometry, DFT PBE
data_Ca2NdAu3
_chemical_formula_sum 'Ca2 Nd1 Au3'
_symmetry_space_group_name_H-M 'P 4/m m m'
_symmetry_Int_Tables_number 123
_symmetry_space_group_name_Hall '-P 4 2'
_cell_length_a 3.680
_cell_length_b 3.680
_cell_length_c 10.992
_cell_angle_alpha 90.00
_cell_angle_beta 90.00
_cell_angle_gamma 90.00
loop_
_atom_site_label
_atom_site_type_symbol
_atom_site_fract_x
_atom_site_fract_y
_atom_site_fract_z
Ca1 Ca 0.000 0.000 0.164
Nd1 Nd 0.000 0.000 0.500
Au1 Au 0.500 0.500 0.000
Au2 Au 0.500 0.500 0.337
# ΔE to the lowest computed polymorph ... 0.005 eV/atom
# ΔE_f ... -75 kJ per mole of atoms


# In4Hg6Pb3, optimized geometry, DFT PBE
data_In4Hg6Pb3
_chemical_formula_sum 'In4 Hg6 Pb3'
_symmetry_space_group_name_H-M 'P -1'
_symmetry_Int_Tables_number 2
_symmetry_space_group_name_Hall '-P 1'
_cell_length_a 3.437
_cell_length_b 8.741
_cell_length_c 12.016
_cell_angle_alpha 86.25
_cell_angle_beta 88.83
_cell_angle_gamma 89.54
loop_
_atom_site_label
_atom_site_type_symbol
_atom_site_fract_x
_atom_site_fract_y
_atom_site_fract_z
In1 In 0.188 0.477 0.316
In2 In 0.190 0.915 0.612
Hg1 Hg 0.310 0.865 0.242
Hg2 Hg 0.321 0.300 0.541
Hg3 Hg 0.415 0.757 0.838
Pb1 Pb 0.000 0.000 0.000
Pb2 Pb 0.254 0.377 0.919
# ΔE_f ... 3 kJ per mole of atoms